[1]
10
Lattice="4.634 0.000 0.000 0.000 11.966 0.000 0.000 0.000 11.966" Properties=species:S:1:pos:R:3 comment="SCAN CsRb2Na2, single point on PBEsol structure" formation_enthalpy_0k_kj_per_mol_fu=13 magmom_total_mub_per_cell=0.3 space_group=P4/mbm relative_energy_kj_per_mol_atoms=0.0 pbc="T T T"
Na 2.317 3.996 1.987
Na 2.317 1.987 7.970
Na 2.317 7.970 9.979
Na 2.317 9.979 3.996
Rb 0.000 4.406 10.389
Rb 0.000 10.389 7.560
Rb 0.000 1.577 4.406
Rb 0.000 7.560 1.577
Cs 0.000 5.983 5.983
Cs 0.000 0.000 0.000

***

[2]
24
Lattice="5.962 0.000 0.000 0.000 5.971 -0.052 0.000 -0.137 7.869" Properties=species:S:1:pos:R:3 comment="SCAN LiVO2F2, single point on PBEsol structure" magmom_total_mub_per_cell=0.0 space_group=P2 relative_energy_kj_per_mol_atoms=9.3 pbc="T T T"
Li 4.468 1.519 1.070
Li 4.468 4.315 6.747
Li 1.439 4.390 4.912
Li 1.439 1.444 2.905
F 5.836 4.504 3.816
F 2.804 4.622 7.484
F 4.619 3.305 1.646
F 3.097 4.601 4.000
F 5.836 1.329 4.002
F 3.097 1.233 3.817
F 4.619 2.528 6.171
F 2.804 1.211 0.334
O 0.206 1.223 7.818
O 1.220 3.162 2.108
O 1.331 5.777 1.775
O 1.331 0.056 6.042
O 0.206 4.611 -0.001
O 4.742 5.861 2.217
O 1.220 2.672 5.710
O 4.742 -0.027 5.601
V 4.308 -0.069 3.934
V 0.176 4.349 1.781
V 1.443 0.000 0.000
V 0.176 1.484 6.036

***

[3]
3
Lattice="2.870 0.000 0.000 0.000 4.038 0.000 0.000 -2.019 3.497" Properties=species:S:1:pos:R:3 comment="SCAN BeIrAu, single point on PBEsol structure" formation_enthalpy_0k_kj_per_mol_fu=30 magmom_total_mub_per_cell=0.2 space_group=P3m1 pbc="T T T"
Au 2.618 0.000 0.000
Ir 1.192 2.019 1.166
Be 1.931 0.000 2.331

***

[4]
4
Lattice="-1.837 -1.371 1.239 0.313 -1.953 -1.696 5.240 -3.011 4.436" Properties=species:S:1:pos:R:3 comment="SCAN TcNi2Ag, single point on PBEsol structure" formation_enthalpy_0k_kj_per_mol_fu=107 magmom_total_mub_per_cell=0.0 space_group=P4mm relative_energy_kj_per_mol_atoms=0.0 pbc="T T T"
Ni 0.499 -2.387 0.839
Ni 0.132 -0.076 0.111
Ag 3.249 -3.966 3.167
Tc 2.457 -1.412 2.080

***

[5]
5
Lattice="4.463 0.000 0.000 0.000 4.874 0.000 0.000 0.000 4.874" Properties=species:S:1:pos:R:3 comment="SCAN FeAsAuBr2, single point on PBEsol structure" magmom_total_mub_per_cell=1.8 space_group=P4/mmm dft_energy_ev_per_atom=-28.758 pbc="T T T"
Au 2.231 2.437 2.437
Fe 0.000 0.000 0.000
Br 0.000 2.437 0.000
Br 0.000 0.000 2.437
As 2.231 0.000 0.000

***

[6]
8
Lattice="6.207 0.000 0.000 0.000 6.207 0.000 -3.104 -3.104 5.955" Properties=species:S:1:pos:R:3 comment="SCAN YTlP2, single point on PBEsol structure" formation_enthalpy_0k_kj_per_mol_fu=-185 magmom_total_mub_per_cell=0.0 space_group=I-42d relative_energy_kj_per_mol_atoms=18.8 pbc="T T T"
Y 3.104 3.104 0.000
Y 3.104 0.000 2.978
P 1.478 4.655 1.489
P 4.729 1.552 1.489
P 1.552 1.625 4.466
P -1.552 -1.625 4.466
Tl 0.000 3.104 2.978
Tl 0.000 0.000 0.000

***

[7]
5
Lattice="4.573 0.000 0.000 0.000 4.573 0.000 0.000 0.000 5.200" Properties=species:S:1:pos:R:3 comment="SCAN NaCr2RuPb, single point on PBEsol structure" formation_enthalpy_0k_kj_per_mol_fu=394 magmom_total_mub_per_cell=6.5 space_group=P4/mmm pbc="T T T"
Cr 0.000 2.286 0.000
Cr 2.286 0.000 0.000
Pb 2.286 2.286 2.600
Ru 0.000 0.000 0.000
Na 0.000 0.000 2.600

***

[8]
5
Lattice="-3.881 -0.277 1.541 1.079 -3.458 2.096 3.121 5.415 3.150" Properties=species:S:1:pos:R:3 comment="SCAN KTa2Re2, single point on PBEsol structure" formation_enthalpy_0k_kj_per_mol_fu=355 magmom_total_mub_per_cell=0.2 space_group=I4/mmm pbc="T T T"
Ta -0.940 -0.917 3.150
Ta 1.259 2.597 3.637
K 0.000 0.000 0.000
Re 1.399 0.045 3.532
Re -1.081 1.635 3.255

***

[9]
4
Lattice="-2.272 1.735 1.215 -0.264 -2.506 3.086 3.581 2.853 2.622" Properties=species:S:1:pos:R:3 comment="SCAN Ta2AsOs, single point on PBEsol structure" formation_enthalpy_0k_kj_per_mol_fu=-20 magmom_total_mub_per_cell=0.0 space_group=Pmm2 pbc="T T T"
Ta -0.308 0.380 2.854
Ta 3.503 2.792 2.565
As 1.746 1.391 1.278
Os 1.475 1.800 4.159

***

[10]
5
Lattice="-0.962 1.675 -4.290 -4.011 -2.458 -0.060 -2.354 3.792 2.009" Properties=species:S:1:pos:R:3 comment="SCAN AlAgAs2F, single point on PBEsol structure" magmom_total_mub_per_cell=0.7 space_group=P4/mmm dft_energy_ev_per_atom=-16.278 pbc="T T T"
Al 0.000 0.000 0.000
F -3.663 1.504 -1.171
Ag -1.177 1.896 1.004
As -2.005 -1.229 -0.030
As -0.481 0.838 -2.145

***

[11]
20
Lattice="-1.474 -3.547 2.897 4.612 1.369 0.028 -2.489 8.206 8.781" Properties=species:S:1:pos:R:3 comment="SCAN MnP2O7, single point on PBEsol structure" magmom_total_mub_per_cell=5.9 space_group=P6_3/m relative_energy_kj_per_mol_atoms=0.1 pbc="T T T"
O 1.263 1.007 0.948
O 1.961 1.782 3.180
O 2.098 -0.634 2.718
O -3.074 5.013 10.068
O -0.614 5.021 10.758
O 3.723 1.015 1.638
O -0.649 4.023 6.164
O 0.463 3.645 3.771
O 1.298 2.004 5.542
O -1.312 4.246 8.526
O 0.186 2.382 7.935
O 2.922 3.653 4.461
O -2.274 2.374 7.245
O -1.449 6.662 8.987
P 2.280 0.730 2.054
P -1.631 5.298 9.652
P 1.642 2.834 4.305
P -0.993 3.194 7.400
Mn 0.000 0.000 0.000
Mn -1.245 4.103 4.390

***

[12]
18
Lattice="-5.540 -0.999 -2.570 2.198 -8.510 -1.432 -3.959 2.354 7.621" Properties=species:S:1:pos:R:3 comment="SCAN Mg5Tl4, single point on PBEsol structure" formation_enthalpy_0k_kj_per_mol_fu=-108 magmom_total_mub_per_cell=0.0 space_group=P6_3/mcm relative_energy_kj_per_mol_atoms=0.0 pbc="T T T"
Mg -6.916 0.892 3.386
Mg -1.907 -1.267 4.604
Mg 0.146 -4.888 1.586
Mg -4.677 -1.767 3.319
Mg -4.689 -2.613 -0.053
Mg -2.613 -4.541 3.673
Mg -0.719 -2.827 -1.076
Mg -2.624 -5.388 0.301
Mg -2.623 -6.682 -2.925
Mg -2.584 0.463 1.666
Tl -2.033 -2.516 1.636
Tl 0.000 0.000 0.000
Tl -5.613 0.117 0.878
Tl -3.887 1.238 4.173
Tl 0.004 -5.627 -1.547
Tl -2.770 -0.500 -1.285
Tl -3.346 -3.882 -2.454
Tl -5.268 -4.639 1.984